AcEr4Pt3O12, optimized geometry, DFT GGA-PBE; space group = Im-3, No. 204; formation energy (no corrections) = -221 kJ per mole of atoms; VASP energy = -7.29 eV/atom; total moment = 2.9 μB per cell
1.0
-4.6249 -2.8624 -4.5825
6.3053 0.8086 -3.1893
0.7226 -4.2876 5.6282
Ac Er Pt O
1 4 3 12
direct
0.0000 0.0000 0.0000 Ac
0.5000 0.0000 0.0000 Er
0.5000 0.5000 0.5000 Er
0.0000 0.5000 0.0000 Er
0.0000 0.0000 0.5000 Er
0.0000 0.5000 0.5000 Pt
0.5000 0.5000 0.0000 Pt
0.5000 0.0000 0.5000 Pt
0.3085 0.8438 0.1523 O
0.6915 0.1562 0.8477 O
0.6915 0.8438 0.5353 O
0.8477 0.6915 0.1562 O
0.8438 0.1523 0.3085 O
0.1562 0.4647 0.3085 O
0.4647 0.3085 0.1562 O
0.1562 0.8477 0.6915 O
0.3085 0.1562 0.4647 O
0.1523 0.3085 0.8438 O
0.8438 0.5353 0.6915 O
0.5353 0.6915 0.8438 O